Nb3TlHg: optimized geometry, PBE.

- E above lowest polymorph: 199 meV per atom
- Formation energy from the elements: 1926 meV/atom
- Electronic total energy: -4.649 eV/atom

Cell lengths 5.1079, 5.1079, 5.1079 Å; angles 90.00, 90.00, 90.00 degrees
Last column: nearest neighbours and their distance in Å.
Element x y z (fractional)
1 Nb 0.5000 0.0000 0.0000  2 Tl 2.55
2 Nb 0.0000 0.5000 0.0000  2 Tl 2.55
3 Nb 0.0000 0.0000 0.5000  2 Tl 2.55
4 Tl 0.0000 0.0000 0.0000  6 Nb 2.55
5 Hg 0.5000 0.5000 0.5000  12 Nb 3.61

NbTlHg3: optimized geometry, PBE.

- E above lowest polymorph: 0 meV per atom
- Formation energy from the elements: 623 meV/atom
- Electronic total energy: -2.046 eV/atom

Cell lengths 5.5419, 5.5419, 5.5419 Å; angles 90.00, 90.00, 90.00 degrees
Last column: nearest neighbours and their distance in Å.
Element x y z (fractional)
1 Tl 0.5000 0.5000 0.5000  12 Hg 3.92
2 Hg 0.5000 0.0000 0.0000  2 Nb 2.77
3 Hg 0.0000 0.0000 0.5000  2 Nb 2.77
4 Hg 0.0000 0.5000 0.0000  2 Nb 2.77
5 Nb 0.0000 0.0000 0.0000  6 Hg 2.77